{"formula": "LiTaTcAs", "functional": "PBE", "state": "relaxed", "magmom_total_mub_per_cell": 0.002, "polymorph_energy_ev_per_fu": 1.56, "lattice": [[0.000, 3.063, 3.063], [3.063, 0.000, 3.063], [3.063, 3.063, 0.000]], "species": ["Li", "Ta", "Tc", "As"], "frac_coords": [[0.000, 0.000, 0.000], [0.750, 0.750, 0.750], [0.250, 0.250, 0.250], [0.500, 0.500, 0.500]]}


{"formula": "KB4Pd", "functional": "PBE", "state": "relaxed", "polymorph_energy_ev_per_fu": 0.00, "lattice": [[3.073, 0.000, 0.000], [-1.536, 2.661, 0.000], [0.000, 0.000, 8.310]], "species": ["K", "B", "B", "B", "B", "Pd"], "frac_coords": [[0.000, 0.000, 0.000], [0.333, 0.667, 0.296], [0.333, 0.667, 0.704], [0.667, 0.333, 0.296], [0.667, 0.333, 0.704], [0.000, 0.000, 0.500]]}